Computed, not measured: crystalline K2MoS2O10 at its relaxed geometry at the PBE+U level of DFT.

Properties
Raw total energy: -6.122 eV/atom
Total magnetic moment: 0.6 μB per cell

Cell lengths 12.7278, 9.1443, 9.1174 Å; angles 68.23, 90.00, 90.00 degrees
Last column: nearest neighbours and their distance in Å.
Fractional coordinates of all 60 atoms:
K1 0.0206 0.1894 0.1948  8 O 2.82-3.12
K2 0.8842 0.2967 0.6706  6 O 2.68-2.87
K3 0.9794 0.8106 0.8052  8 O 2.82-3.12
K4 0.4794 0.6894 0.1948  8 O 2.82-3.12
K5 0.1158 0.7033 0.3294  6 O 2.68-2.87
K6 0.6158 0.7967 0.6706  6 O 2.68-2.87
K7 0.5206 0.3106 0.8052  8 O 2.82-3.12
K8 0.3842 0.2033 0.3294  6 O 2.68-2.87
Mo1 0.3320 0.8418 0.7775  2 O 1.73
Mo2 0.1680 0.3418 0.7775  2 O 1.73
Mo3 0.6680 0.1582 0.2225  2 O 1.73
Mo4 0.8320 0.6582 0.2225  2 O 1.73
S1 0.7971 0.4783 0.9597  4 O 1.46-1.55
S2 0.2971 0.0217 0.0403  4 O 1.46-1.55
S3 0.6440 0.3825 0.4287  4 O 1.46-1.56
S4 0.7029 0.9783 0.9597  4 O 1.46-1.55
S5 0.2029 0.5217 0.0403  4 O 1.46-1.55
S6 0.1440 0.1175 0.5713  4 O 1.46-1.56
S7 0.8560 0.8825 0.4287  4 O 1.46-1.56
S8 0.3560 0.6175 0.5713  4 O 1.46-1.56
O1 0.6027 0.9895 0.3407  1 Mo 1.73
O2 0.1844 0.1281 0.4183  1 S 1.46
O3 0.7047 0.8293 0.1038  1 S 1.50
O4 0.9332 0.7899 0.1401  1 Mo 1.73
O5 0.7953 0.3293 0.1038  1 S 1.50
O6 0.1952 0.2581 0.6037  1 S 1.56
O7 0.5299 0.3713 0.4219  1 S 1.46
O8 0.8048 0.7419 0.3963  1 S 1.56
O9 0.6122 0.9777 0.8615  1 S 1.46
O10 0.2953 0.1707 0.8962  1 S 1.50
O11 0.1794 0.9685 0.7027  1 S 1.51
O12 0.3028 0.4897 0.1243  1 S 1.46
O13 0.8206 0.0315 0.2973  1 S 1.51
O14 0.8178 0.6132 0.0209  1 S 1.55
O15 0.0299 0.1287 0.5781  1 S 1.46
O16 0.4701 0.6287 0.5781  1 S 1.46
O17 0.3178 0.8868 0.9791  1 S 1.55
O18 0.1972 0.9897 0.1243  1 S 1.46
O19 0.8878 0.4777 0.8615  1 S 1.46
O20 0.6822 0.1132 0.0209  1 S 1.55
O21 0.6952 0.2419 0.3963  1 S 1.56
O22 0.0668 0.2101 0.8599  1 Mo 1.73
O23 0.9701 0.8713 0.4219  1 S 1.46
O24 0.8028 0.0103 0.8757  1 S 1.46
O25 0.3048 0.7581 0.6037  1 S 1.56
O26 0.3973 0.0105 0.6593  1 Mo 1.73
O27 0.8973 0.4895 0.3407  1 Mo 1.73
O28 0.3206 0.4685 0.7027  1 S 1.51
O29 0.3878 0.0223 0.1385  1 S 1.46
O30 0.6794 0.5315 0.2973  1 S 1.51
O31 0.1027 0.5105 0.6593  1 Mo 1.73
O32 0.2047 0.6707 0.8962  1 S 1.50
O33 0.4332 0.7101 0.8599  1 Mo 1.73
O34 0.8156 0.8719 0.5817  1 S 1.46
O35 0.3156 0.6281 0.4183  1 S 1.46
O36 0.1822 0.3868 0.9791  1 S 1.55
O37 0.6844 0.3719 0.5817  1 S 1.46
O38 0.1122 0.5223 0.1385  1 S 1.46
O39 0.6972 0.5103 0.8757  1 S 1.46
O40 0.5668 0.2899 0.1401  1 Mo 1.73